i | YMgP2O: optimized geometry, PBE.

The structure in POSCAR format:
```
YMgP2O
1.0
5.413 0.000 0.000
0.000 5.413 0.000
0.000 0.000 4.195
P Y O Mg
2 1 1 1
Cartesian
0.000 2.707 0.000
2.707 0.000 0.000
0.000 0.000 0.000
0.000 0.000 2.097
2.707 2.707 2.097
```

Computed properties:
SG = P4/mmm
density of states at the Fermi level = 4.766 states/eV/f.u.



ii | YMgP2O: optimized geometry, PBE.

The structure in POSCAR format:
```
YMgP2O
1.0
4.978 0.000 0.000
0.000 4.978 0.000
0.000 0.000 3.737
O Y P Mg
1 1 2 1
Cartesian
0.000 0.000 1.868
2.489 2.489 1.868
0.000 2.489 0.000
2.489 0.000 0.000
0.000 0.000 0.000
```

Computed properties:
SG = P4/mmm
density of states at the Fermi level = 5.038 states/eV/f.u.



ii is the most stable structure; the next one sits 24.2 kJ/mol of atoms above it.



i | MgZnPO2: optimized geometry, PBE.

The structure in POSCAR format:
```
MgZnPO2
1.0
3.830 0.000 0.000
0.000 3.830 0.000
0.000 0.000 4.974
P Zn O Mg
1 1 2 1
Cartesian
0.000 0.000 2.487
0.000 0.000 0.000
1.915 0.000 0.000
0.000 1.915 0.000
1.915 1.915 2.487
```

Computed properties:
SG = P4/mmm
density of states at the Fermi level = 4.658 states/eV/f.u.



ii | MgZnPO2: optimized geometry, PBE.

The structure in POSCAR format:
```
MgZnPO2
1.0
3.798 0.000 0.000
0.000 3.798 0.000
0.000 0.000 5.628
Zn Mg O P
1 1 2 1
Cartesian
1.899 1.899 2.814
0.000 0.000 0.000
0.000 1.899 0.000
1.899 0.000 0.000
0.000 0.000 2.814
```

Computed properties:
SG = P4/mmm
density of states at the Fermi level = 2.927 states/eV/f.u.



ii is the most stable structure; the next one sits 5.8 kJ/mol of atoms above it.



i | MgZnP2O: optimized geometry, PBE.

The structure in POSCAR format:
```
MgZnP2O
1.0
4.953 0.000 0.000
0.000 4.953 0.000
0.000 0.000 3.581
Zn Mg P O
1 1 2 1
Cartesian
0.000 0.000 0.000
2.477 2.477 1.790
0.000 2.477 0.000
2.477 0.000 0.000
0.000 0.000 1.790
```

Computed properties:
SG = P4/mmm
density of states at the Fermi level = 4.890 states/eV/f.u.



ii | MgZnP2O: optimized geometry, PBE.

The structure in POSCAR format:
```
MgZnP2O
1.0
-3.549 0.210 3.593
3.086 -2.419 3.190
1.313 3.143 1.113
P Zn Mg O
2 1 1 1
Cartesian
-1.775 0.105 1.797
1.543 -1.210 1.595
0.425 0.467 3.948
0.000 0.000 0.000
0.657 1.571 0.557
```

Computed properties:
SG = P4/mmm
density of states at the Fermi level = 3.491 states/eV/f.u.



i is the most stable structure; the next one sits 7.9 kJ/mol of atoms above it.



i | MgZrP2O: optimized geometry, PBE.

The structure in POSCAR format:
```
MgZrP2O
1.0
-0.067 1.934 4.827
-0.607 -4.797 1.914
3.954 -0.413 0.220
Zr P O Mg
1 2 1 1
Cartesian
0.000 0.000 0.000
-0.304 -2.399 0.957
-0.033 0.967 2.414
1.977 -0.206 0.110
1.640 -1.638 3.481
```

Computed properties:
SG = P4/mmm
density of states at the Fermi level = 5.283 states/eV/f.u.



ii | MgZrP2O: optimized geometry, PBE.

The structure in POSCAR format:
```
MgZrP2O
1.0
4.818 0.000 0.000
0.000 4.818 0.000
0.000 0.000 3.677
P Mg O Zr
2 1 1 1
Cartesian
0.000 2.409 0.000
2.409 0.000 0.000
0.000 0.000 0.000
0.000 0.000 1.839
2.409 2.409 1.839
```

Computed properties:
SG = P4/mmm
density of states at the Fermi level = 4.481 states/eV/f.u.



i is the most stable structure; the next one sits 39.1 kJ/mol of atoms above it.



i | Mg3PbO: optimized geometry, PBE.

The structure in POSCAR format:
```
Mg3PbO
1.0
-1.152 2.337 3.591
-4.276 -0.866 -0.809
0.275 -3.671 2.477
Mg Pb O
3 1 1
Cartesian
-2.138 -0.433 -0.404
0.137 -1.835 1.238
-0.576 1.168 1.795
-2.577 -1.100 2.630
0.000 0.000 0.000
```

Computed properties:
SG = Pm-3m
density of states at the Fermi level = 0.177 states/eV/f.u.



ii | Mg3PbO: optimized geometry, PBE.

The structure in POSCAR format:
```
Mg3PbO
1.0
-3.639 3.364 -1.805
-3.584 -3.870 0.012
-1.316 1.235 4.956
Pb Mg O
1 3 1
Cartesian
0.000 0.000 0.000
-1.792 -1.935 0.006
-0.658 0.618 2.478
-1.820 1.682 -0.903
-4.270 0.365 1.582
```

Computed properties:
SG = Pm-3m
density of states at the Fermi level = 1.558 states/eV/f.u.



i is the most stable structure; the next one sits 138.9 kJ/mol of atoms above it.



i | MgPbO2: optimized geometry, PBE.

The structure in POSCAR format:
```
MgPbO2
1.0
-2.544 0.270 3.409
-3.717 -2.085 0.056
-0.511 -3.376 2.551
Mg O Pb
1 2 1
Cartesian
0.000 0.000 0.000
-5.080 -3.893 4.512
-1.693 -1.298 1.504
-3.386 -2.596 3.008
```

Computed properties:
SG = Fm-3m
density of states at the Fermi level = 0.000 states/eV/f.u.



ii | MgPbO2: optimized geometry, PBE.

The structure in POSCAR format:
```
MgPbO2
1.0
-0.272 3.779 -3.613
-2.268 -3.345 -3.328
-5.643 1.510 -1.789
Mg O Pb
2 4 2
Cartesian
-1.270 0.217 -3.470
-4.591 -0.809 -4.293
-1.845 2.050 -2.862
-5.348 1.056 -4.183
-6.293 1.752 -7.176
-2.882 -0.969 -3.238
-3.593 2.753 -4.436
0.000 0.000 0.000
```

Computed properties:
SG = I-42d
density of states at the Fermi level = 0.000 states/eV/f.u.



ii is the most stable structure; the next one sits 65.8 kJ/mol of atoms above it.